Record 1
18
Lattice="5.871 -4.682 0.000 5.871 4.682 0.000 -0.020 0.000 7.434" Properties=species:S:1:pos:R:3 comment="Sm3Pd2Au4, relaxed, DFT PBE" formation_enthalpy_0k_ev_per_atom=-0.778 n_ef_per_ev_atom=0.526 pbc="T T T"
Sm 5.855 4.157 5.575
Sm 3.867 0.561 1.854
Sm 3.856 -0.561 5.570
Sm 7.864 0.561 1.863
Sm 7.854 -0.561 5.580
Sm 5.865 -4.157 1.858
Pd 1.968 1.345 7.085
Pd 1.978 -1.345 3.368
Pd 9.742 1.345 4.066
Pd 9.753 -1.345 0.349
Au 1.934 1.373 4.129
Au 1.944 -1.373 0.412
Au 5.795 1.390 7.054
Au 5.916 1.390 4.097
Au 5.805 -1.390 3.337
Au 5.926 -1.390 0.380
Au 9.777 1.373 7.021
Au 9.787 -1.373 3.305

Record 2
12
Lattice="8.312 -2.541 0.000 8.312 2.541 0.000 -2.710 0.000 6.534" Properties=species:S:1:pos:R:3 comment="Sm4Pd3Au5, relaxed, DFT PBE" formation_enthalpy_0k_ev_per_atom=-0.610 n_ef_per_ev_atom=0.642 pbc="T T T"
Sm 0.454 0.000 2.890
Sm 2.888 0.000 5.600
Sm 11.027 0.000 0.934
Sm 13.461 0.000 3.644
Pd 3.406 0.000 2.673
Pd 8.312 0.000 0.000
Pd 10.508 0.000 3.860
Au 0.000 0.000 0.000
Au -0.051 0.000 5.834
Au 6.255 0.000 2.065
Au 7.660 0.000 4.469
Au 13.966 0.000 0.700

Record 3
11
Lattice="4.322 -5.860 0.000 4.322 5.860 0.000 0.000 0.000 4.240" Properties=species:S:1:pos:R:3 comment="SmPd2Au8, relaxed, DFT PBE" formation_enthalpy_0k_ev_per_atom=-0.215 polymorph_energy_mev_per_atom=11 n_ef_per_ev_atom=0.329 pbc="T T T"
Sm 0.000 0.000 0.000
Pd 4.322 1.352 2.120
Pd 4.322 -1.352 2.120
Au 1.525 1.613 2.120
Au 4.322 2.949 0.000
Au 1.525 -1.613 2.120
Au 2.906 0.000 0.000
Au 5.737 0.000 0.000
Au 7.119 1.613 2.120
Au 4.322 -2.949 0.000
Au 7.119 -1.613 2.120

Record 4
11
Lattice="7.282 -2.058 0.000 7.282 2.058 0.000 -1.718 0.000 6.193" Properties=species:S:1:pos:R:3 comment="SmPd8Au2, relaxed, DFT PBE" formation_enthalpy_0k_ev_per_atom=-0.322 polymorph_energy_mev_per_atom=0 n_ef_per_ev_atom=1.036 pbc="T T T"
Sm 0.000 0.000 0.000
Pd 0.530 0.000 2.869
Pd 1.116 0.000 5.637
Pd 3.877 0.000 5.027
Pd 6.119 0.000 1.723
Pd 6.727 0.000 4.469
Pd 8.969 0.000 1.166
Pd 11.731 0.000 0.556
Pd 12.316 0.000 3.324
Au 3.349 0.000 2.226
Au 9.498 0.000 3.967

Record 5
19
Lattice="6.059 3.498 2.927 -6.059 3.498 2.927 0.000 -6.996 2.927" Properties=species:S:1:pos:R:3 comment="SmPd6Au12, relaxed, DFT PBE" formation_enthalpy_0k_ev_per_atom=-0.034 n_ef_per_ev_atom=0.512 pbc="T T T"
Sm 0.000 0.000 0.000
Pd 0.000 -2.688 3.769
Pd -2.328 1.344 3.769
Pd -2.328 -1.344 5.013
Pd 2.328 1.344 3.769
Pd 2.328 -1.344 5.013
Pd 0.000 2.688 5.013
Au -1.542 -0.890 2.373
Au -2.336 -4.046 4.391
Au -4.672 0.000 4.391
Au 1.542 -0.890 2.373
Au 0.000 1.781 2.373
Au 2.336 -4.046 4.391
Au -2.336 4.046 4.391
Au 0.000 -1.781 6.409
Au -1.542 0.890 6.409
Au 4.672 0.000 4.391
Au 2.336 4.046 4.391
Au 1.542 0.890 6.409

Record 6
18
Lattice="-4.806 4.978 5.175 4.806 -4.978 5.175 4.806 4.978 -5.175" Properties=species:S:1:pos:R:3 comment="Sm6Pd2Au, relaxed, DFT PBE" formation_enthalpy_0k_ev_per_atom=-0.536 n_ef_per_ev_atom=0.991 pbc="T T T"
Sm 4.806 3.102 -2.672
Sm 2.701 1.761 0.000
Sm 6.912 1.761 0.000
Sm 1.932 4.978 -1.756
Sm 2.875 0.000 3.418
Sm 0.000 1.877 2.502
Sm 4.806 3.102 2.672
Sm 1.932 4.978 1.756
Sm 2.875 0.000 6.931
Sm -2.105 3.218 5.175
Sm 2.105 3.218 5.175
Sm 0.000 1.877 7.847
Pd 4.806 0.000 1.369
Pd 0.000 3.443 0.000
Pd 0.000 6.514 0.000
Pd 0.000 4.978 3.806
Au 0.000 0.000 0.000
Au 0.000 0.000 5.175